The following is a PBE with a Hubbard U calculation of a relaxed Rb5Cr2F12 crystal, from the Alexandria database.

DFT total energy = -4.822 eV per atom
Total magnetization = 5.00 μB/f.u.
V = 23.2 A^3/atom
Symmetry = C2/m

a = 7.446 Å, b = 7.978 Å, c = 7.978 Å
α = 84.22°, β = 74.81°, γ = 74.80°
Positions (direct):
F 0.166 0.634 0.142
F 0.839 0.766 0.047
F 0.834 0.366 0.858
F 0.834 0.858 0.366
F 0.847 0.093 0.093
F 0.260 0.501 0.501
F 0.161 0.234 0.953
F 0.166 0.142 0.634
F 0.161 0.953 0.234
F 0.740 0.499 0.499
F 0.839 0.047 0.766
F 0.153 0.907 0.907
Rb 0.406 0.668 0.668
Rb 0.084 0.330 0.330
Rb 0.500 0.000 0.000
Rb 0.916 0.670 0.670
Rb 0.594 0.332 0.332
Cr 0.000 0.148 0.852
Cr 0.000 0.852 0.148